[1]
A relaxed structure of NaCaAlSe3. Source: Alexandria via LeMat-Bulk, functional GGA-PBE.

Formation energy from raw total energies   -727 kJ/mol of formula units

Cell lengths 8.314, 4.063, 11.682 Å; angles 90.00, 108.38, 90.00 degrees
Space group P2_1/m (No. 11)
Asymmetric unit:
Na 0.226 0.250 0.187 (multiplicity 2)
Ca 0.332 0.750 0.882 (multiplicity 2)
Al 0.066 0.250 0.615 (multiplicity 2)
Se 0.045 0.250 0.807 (multiplicity 2)
Se 0.202 0.750 0.557 (multiplicity 2)
Se 0.438 0.750 0.141 (multiplicity 2)

[2]
A relaxed structure of AlZnTe2. Source: Alexandria via LeMat-Bulk, functional GGA-PBE.

Excess energy over the best structure of this formula in the dataset   1.00 eV per formula unit
Formation energy from raw total energies   -2 kJ/mol of formula units
Density of states at the Fermi level   0.6 states/eV/cell

Cell lengths 4.836, 3.895, 7.336 Å; angles 90.00, 102.76, 90.00 degrees
Space group P2/m (No. 10)
Asymmetric unit:
Al 0.000 0.000 0.000 (multiplicity 1)
Zn 0.500 0.000 0.500 (multiplicity 1)
Te 0.237 0.500 0.249 (multiplicity 2)

[3]
A relaxed structure of BeCr2Re. Source: Alexandria via LeMat-Bulk, functional GGA-PBE.

Density of states at the Fermi level   6.7 states/eV/cell
E_form   0.205 eV/atom

Cell lengths 4.847, 7.804, 2.568 Å; angles 90.00, 90.00, 90.00 degrees
Space group Cmmm (No. 65)
Asymmetric unit:
Be 0.000 0.000 0.000 (multiplicity 2)
Cr 0.250 0.250 0.500 (multiplicity 4)
Re 0.000 0.500 0.000 (multiplicity 2)

[4]
A relaxed structure of HoZnPd6. Source: Alexandria via LeMat-Bulk, functional GGA-PBE.

Excess energy over the best structure of this formula in the dataset   0.00 eV per formula unit
Density of states at the Fermi level   10.2 states/eV/cell
E_form   -0.582 eV/atom

Cell lengths 4.043, 4.043, 7.941 Å; angles 90.00, 90.00, 90.00 degrees
Space group P4/mmm (No. 123)
Asymmetric unit:
Ho 0.000 0.000 0.000 (multiplicity 1)
Zn 0.000 0.000 0.500 (multiplicity 1)
Pd 0.000 0.500 0.264 (multiplicity 4)
Pd 0.500 0.500 0.000 (multiplicity 1)
Pd 0.500 0.500 0.500 (multiplicity 1)

[5]
A relaxed structure of LuUIrPd. Source: Alexandria via LeMat-Bulk, functional GGA-PBE.

Density of states at the Fermi level   23.2 states/eV/cell
E_form   -0.568 eV/atom

Cell lengths 6.866, 6.866, 6.866 Å; angles 90.00, 90.00, 90.00 degrees
Space group F-43m (No. 216)
Asymmetric unit:
Lu 0.000 0.000 0.000 (multiplicity 4)
U 0.000 0.000 0.500 (multiplicity 4)
Ir 0.250 0.250 0.250 (multiplicity 4)
Pd 0.250 0.250 0.750 (multiplicity 4)

[6]
A relaxed structure of Na2CaSnI. Source: Alexandria via LeMat-Bulk, functional GGA-PBE.

Formation energy from raw total energies   -28 kJ/mol of formula units
Density of states at the Fermi level   4.3 states/eV/cell

Cell lengths 5.609, 5.609, 6.593 Å; angles 90.00, 90.00, 90.00 degrees
Space group P4/mmm (No. 123)
Asymmetric unit:
Na 0.000 0.500 0.000 (multiplicity 2)
Ca 0.000 0.000 0.500 (multiplicity 1)
Sn 0.500 0.500 0.500 (multiplicity 1)
I 0.500 0.500 0.000 (multiplicity 1)

[7]
A relaxed structure of Cr2IBr. Source: Alexandria via LeMat-Bulk, functional GGA-PBE.

Excess energy over the best structure of this formula in the dataset   3.34 eV per formula unit
Formation energy from raw total energies   428 kJ/mol of formula units
Density of states at the Fermi level   25.5 states/eV/cell

Cell lengths 6.412, 6.412, 6.412 Å; angles 90.00, 90.00, 90.00 degrees
Space group Fm-3m (No. 225)
Asymmetric unit:
Cr 0.250 0.250 0.250 (multiplicity 8)
I 0.000 0.000 0.000 (multiplicity 4)
Br 0.000 0.000 0.500 (multiplicity 4)

[8]
A relaxed structure of YTaReBr2. Source: Alexandria via LeMat-Bulk, functional GGA-PBE.

Formation energy from raw total energies   453 kJ/mol of formula units
Density of states at the Fermi level   5.5 states/eV/cell

Cell lengths 5.065, 5.065, 4.997 Å; angles 90.00, 90.00, 90.00 degrees
Space group P4/mmm (No. 123)
Asymmetric unit:
Y 0.000 0.000 0.000 (multiplicity 1)
Ta 0.500 0.500 0.000 (multiplicity 1)
Re 0.500 0.500 0.500 (multiplicity 1)
Br 0.000 0.500 0.500 (multiplicity 2)

[9]
A relaxed structure of AcTbHoSe3. Source: Alexandria via LeMat-Bulk, functional GGA-PBE.

Formation energy from raw total energies   -955 kJ/mol of formula units
Density of states at the Fermi level   7.0 states/eV/cell

Cell lengths 8.188, 4.176, 10.422 Å; angles 90.00, 104.73, 90.00 degrees
Space group P2_1/m (No. 11)
Asymmetric unit:
Ac 0.190 0.250 0.213 (multiplicity 2)
Tb 0.336 0.750 0.908 (multiplicity 2)
Ho 0.166 0.250 0.625 (multiplicity 2)
Se 0.096 0.250 0.889 (multiplicity 2)
Se 0.201 0.750 0.449 (multiplicity 2)
Se 0.486 0.750 0.196 (multiplicity 2)

[10]
A relaxed structure of BaCaCu3. Source: Alexandria via LeMat-Bulk, functional GGA-PBE.

Excess energy over the best structure of this formula in the dataset   0.00 eV per formula unit
Density of states at the Fermi level   2.2 states/eV/cell
E_form   0.430 eV/atom

Cell lengths 5.296, 5.296, 5.296 Å; angles 90.00, 90.00, 90.00 degrees
Space group Pm-3m (No. 221)
Asymmetric unit:
Ba 0.000 0.000 0.000 (multiplicity 1)
Ca 0.500 0.500 0.500 (multiplicity 1)
Cu 0.000 0.500 0.500 (multiplicity 3)

[11]
A relaxed structure of Tb2AlCu3. Source: Alexandria via LeMat-Bulk, functional GGA-PBE.

Excess energy over the best structure of this formula in the dataset   0.00 eV per formula unit
Density of states at the Fermi level   35.1 states/eV/cell
E_form   -0.285 eV/atom

Cell lengths 7.031, 8.680, 15.199 Å; angles 90.00, 90.00, 90.00 degrees
Space group Fmmm (No. 69)
Asymmetric unit:
Tb 0.241 0.000 0.000 (multiplicity 8)
Tb 0.250 0.250 0.250 (multiplicity 8)
Al 0.000 0.000 0.334 (multiplicity 8)
Cu 0.000 0.000 0.168 (multiplicity 8)
Cu 0.000 0.248 0.417 (multiplicity 16)

[12]
A relaxed structure of NpCo2PC. Source: Alexandria via LeMat-Bulk, functional GGA-PBE.

Density of states at the Fermi level   35.7 states/eV/cell
E_form   -0.469 eV/atom

Cell lengths 3.628, 10.518, 6.550 Å; angles 90.00, 90.00, 90.00 degrees
Space group Cmcm (No. 63)
Asymmetric unit:
Np 0.000 0.041 0.250 (multiplicity 4)
Co 0.000 0.328 0.055 (multiplicity 8)
P 0.000 0.228 0.750 (multiplicity 4)
C 0.000 0.500 0.000 (multiplicity 4)

[13]
A relaxed structure of YAlMo2H. Source: Alexandria via LeMat-Bulk, functional GGA-PBE.

Excess energy over the best structure of this formula in the dataset   0.00 eV per formula unit
Density of states at the Fermi level   2.9 states/eV/cell

Cell lengths 4.064, 4.064, 4.616 Å; angles 90.00, 90.00, 90.00 degrees
Space group P4/mmm (No. 123)
Asymmetric unit:
Y 0.000 0.000 0.000 (multiplicity 1)
Al 0.500 0.500 0.000 (multiplicity 1)
Mo 0.000 0.500 0.500 (multiplicity 2)
H 0.000 0.000 0.500 (multiplicity 1)

[14]
A relaxed structure of InIrW2. Source: Alexandria via LeMat-Bulk, functional GGA-PBE.

Density of states at the Fermi level   2.2 states/eV/cell
E_form   0.326 eV/atom

Cell lengths 3.305, 4.343, 4.640 Å; angles 90.00, 90.00, 90.00 degrees
Space group Pmmm (No. 47)
Asymmetric unit:
In 0.000 0.000 0.000 (multiplicity 1)
Ir 0.500 0.500 0.000 (multiplicity 1)
W 0.000 0.500 0.500 (multiplicity 1)
W 0.500 0.000 0.500 (multiplicity 1)

[15]
A relaxed structure of TbIn3Ni2. Source: Alexandria via LeMat-Bulk, functional GGA-PBE.

Density of states at the Fermi level   12.1 states/eV/cell
E_form   -0.289 eV/atom

Cell lengths 9.459, 8.847, 5.636 Å; angles 90.00, 90.00, 90.00 degrees
Space group Cmcm (No. 63)
Asymmetric unit:
Tb 0.000 0.102 0.250 (multiplicity 4)
In 0.000 0.458 0.250 (multiplicity 4)
In 0.168 0.236 0.750 (multiplicity 8)
Ni 0.239 0.500 0.000 (multiplicity 8)

[16]
A relaxed structure of RbBa2HgRh. Source: Alexandria via LeMat-Bulk, functional GGA-PBE.

Density of states at the Fermi level   3.5 states/eV/cell
E_form   -0.113 eV/atom

Cell lengths 6.025, 6.025, 5.668 Å; angles 90.00, 90.00, 90.00 degrees
Space group P4/mmm (No. 123)
Asymmetric unit:
Rb 0.000 0.000 0.000 (multiplicity 1)
Ba 0.000 0.500 0.500 (multiplicity 2)
Hg 0.500 0.500 0.000 (multiplicity 1)
Rh 0.500 0.500 0.500 (multiplicity 1)

[17]
A relaxed structure of LaBiPd4. Source: Alexandria via LeMat-Bulk, functional GGA-PBE.

Excess energy over the best structure of this formula in the dataset   0.43 eV per formula unit
Density of states at the Fermi level   3.8 states/eV/cell
E_form   -0.492 eV/atom

Cell lengths 5.067, 5.468, 9.469 Å; angles 73.26, 74.58, 89.99 degrees
Space group P-1 (No. 2)
Asymmetric unit:
La 0.250 0.211 0.000 (multiplicity 2)
Bi 0.000 0.500 0.500 (multiplicity 1)
Bi 0.500 0.000 0.500 (multiplicity 1)
Pd 0.086 0.026 0.328 (multiplicity 2)
Pd 0.162 0.583 0.177 (multiplicity 2)
Pd 0.338 0.760 0.823 (multiplicity 2)
Pd 0.414 0.354 0.672 (multiplicity 2)

[18]
A relaxed structure of LaSiW3. Source: Alexandria via LeMat-Bulk, functional GGA-PBE.

Excess energy over the best structure of this formula in the dataset   0.00 eV per formula unit
Formation energy from raw total energies   485 kJ/mol of formula units
Density of states at the Fermi level   6.2 states/eV/cell

Cell lengths 4.689, 4.689, 4.689 Å; angles 90.00, 90.00, 90.00 degrees
Space group Pm-3m (No. 221)
Asymmetric unit:
La 0.000 0.000 0.000 (multiplicity 1)
Si 0.500 0.500 0.500 (multiplicity 1)
W 0.000 0.500 0.500 (multiplicity 3)

[19]
A relaxed structure of RbTl2Pt. Source: Alexandria via LeMat-Bulk, functional GGA-PBE.

Density of states at the Fermi level   9.0 states/eV/cell
E_form   0.128 eV/atom

Cell lengths 7.584, 7.584, 7.584 Å; angles 90.00, 90.00, 90.00 degrees
Space group Fm-3m (No. 225)
Asymmetric unit:
Rb 0.000 0.000 0.000 (multiplicity 4)
Tl 0.250 0.250 0.250 (multiplicity 8)
Pt 0.000 0.000 0.500 (multiplicity 4)

[20]
A relaxed structure of NaGa2Ag. Source: Alexandria via LeMat-Bulk, functional GGA-PBE.

Density of states at the Fermi level   7.1 states/eV/cell
E_form   0.089 eV/atom

Cell lengths 4.587, 4.587, 18.809 Å; angles 90.00, 90.00, 90.00 degrees
Space group I-42d (No. 122)
Asymmetric unit:
Na 0.000 0.000 0.000 (multiplicity 4)
Ga 0.112 0.250 0.625 (multiplicity 8)
Ag 0.000 0.000 0.500 (multiplicity 4)

E list, top to bottom, in eV per formula unit: -25.05 -11.32 -34.60 -41.67 -32.14 -10.49 -18.03 -29.42 -33.67 -14.06 -27.00 -44.13 -34.85 -36.20 -26.14 -13.03 -32.53 -44.18 -11.23 -9.87